The following is a DFT calculation (PBE-GGA) of a relaxed structure of Cs2LiSeCl6.

Unit cell a=7.4502 b=7.4502 c=13.6301 alpha=74.14 beta=74.14 gamma=60.00
Site moments in Bohr magnetons follow the coordinates.
Positions (direct):
Cs 0.6980 0.6980 0.9060  0.00
Se 0.0000 0.0000 0.0000  0.91
Cl 0.3844 0.3844 0.3895  0.00
Cs 0.8810 0.8810 0.3569  0.00
Li 0.5916 0.5916 0.2252  0.01
Cl 0.7880 0.2867 0.1373  0.08
Cs 0.1190 0.1190 0.6431  0.00
Cl 0.6156 0.1582 0.6105  0.00
Cl 0.1582 0.6156 0.6105  0.00
Cl 0.3844 0.8418 0.3895  0.00
Cl 0.2867 0.7880 0.1373  0.08
Cl 0.2120 0.7133 0.8627  0.08
Cs 0.3020 0.3020 0.0940  0.00
Cl 0.7133 0.2120 0.8627  0.08
Se 0.5000 0.5000 0.5000  0.00
Cl 0.6156 0.6156 0.6105  0.00
Li 0.4084 0.4084 0.7748  0.01
Cl 0.8418 0.3844 0.3895  0.00
Cl 0.2120 0.2120 0.8627  0.08
Cl 0.7880 0.7880 0.1373  0.08

Properties
calculated density: 3.0 g/cm³
spin magnetization: 2.00 μB per cell
calculated volume: 310.9 Å³/f.u.
raw formation energy: -1.213 eV per atom
D(E_F): 0.26 states/eV/atom

The following is a DFT calculation (PBE-GGA) of a relaxed structure of NdSmIrRh.

Unit cell a=4.9824 b=4.9824 c=4.9824 alpha=60.00 beta=60.00 gamma=60.00
Positions (direct):
Rh 0.5000 0.5000 0.5000
Sm 0.2500 0.2500 0.2500
Nd 0.7500 0.7500 0.7500
Ir 0.0000 0.0000 0.0000

Properties
calculated density: 11.2 g/cm³
spin magnetization: 0.00 μB per cell
calculated formation energy: -0.66 eV/atom
calculated volume: 87.5 Å³/f.u.
D(E_F): 0.48 states/eV/atom

The following is a DFT calculation (PBE-GGA) of a relaxed structure of AlMo2W.

Unit cell a=3.3184 b=4.3599 c=4.3130 alpha=90.00 beta=90.00 gamma=90.00
Positions (direct):
Mo 0.0000 0.0000 0.0000
Mo 0.5000 0.5000 0.0000
W 0.5000 0.0000 0.5000
Al 0.0000 0.5000 0.5000

Properties
calculated density: 10.7 g/cm³
spin magnetization: 0.00 μB per cell
calculated formation energy: 0.06 eV/atom
calculated volume: 62.4 Å³/f.u.
D(E_F): 0.90 states/eV/atom

The following is a DFT calculation (PBE-GGA) of a relaxed structure of NaNd4.

Unit cell a=5.7320 b=5.7320 c=5.7320 alpha=90.00 beta=90.00 gamma=90.00
Positions (direct):
Nd 0.0000 0.0000 0.0000
Nd 0.0000 0.5000 0.5000
Nd 0.5000 0.5000 0.0000
Na 0.5000 0.5000 0.5000
Nd 0.5000 0.0000 0.5000

Properties
calculated density: 5.3 g/cm³
spin magnetization: 0.00 μB per cell
calculated formation energy: 0.68 eV/atom
calculated volume: 188.3 Å³/f.u.
D(E_F): 1.49 states/eV/atom

The following is a DFT calculation (PBE-GGA) of a relaxed structure of Ba2H6PdPt.

Unit cell a=5.6762 b=5.6762 c=5.8518 alpha=60.99 beta=60.97 gamma=90.00
Positions (direct):
H 0.2863 0.7140 0.9996
Pt 0.5000 0.5000 0.0000
H 0.7137 0.2860 0.0004
H 0.7137 0.7136 0.0004
H 0.2863 0.2864 0.9996
Pd 0.0000 0.0000 0.0000
Ba 0.7500 0.2500 0.5000
H 0.2027 0.2023 0.5953
H 0.7973 0.7977 0.4047
Ba 0.2500 0.7500 0.5000

Properties
calculated density: 7.0 g/cm³
spin magnetization: 0.00 μB per cell
calculated volume: 137.2 Å³/f.u.
D(E_F): 0.05 states/eV/atom
energy: -4.058 eV per atom

The following is a DFT calculation (PBE-GGA) of a relaxed structure of TbHoTmTh.

Unit cell a=5.6399 b=5.6399 c=5.6399 alpha=60.00 beta=60.00 gamma=60.00
Positions (direct):
Tb 0.0000 0.0000 0.0000
Th 0.5000 0.5000 0.5000
Ho 0.7500 0.7500 0.7500
Tm 0.2500 0.2500 0.2500

Properties
calculated density: 9.5 g/cm³
spin magnetization: 0.00 μB per cell
calculated formation energy: 0.13 eV/atom
calculated volume: 126.9 Å³/f.u.
D(E_F): 1.98 states/eV/atom